# Na3TiF | Alexandria via LeMat-Bulk | GGA-PBE | relaxed
# Polymorph energy (0 for the lowest one), kJ per mole of atoms: 0.0
# Volume, Å³ per cell: 116.5
# Formation energy without anion corrections, eV per atom: -0.350
# Total magnetization, Bohr magnetons per cell: 3.8
data_Na3TiF
_chemical_formula_sum 'Na3 Ti1 F1'
_cell_length_a 4.884
_cell_length_b 4.884
_cell_length_c 4.884
_cell_angle_alpha 90.00
_cell_angle_beta 90.00
_cell_angle_gamma 90.00
_symmetry_space_group_name_H-M 'P 1'
_symmetry_Int_Tables_number 1
loop_
_symmetry_equiv_pos_as_xyz
'x,y,z'
loop_
_atom_site_label
_atom_site_fract_x
_atom_site_fract_y
_atom_site_fract_z
_atom_site_occupancy
Na1 0.000 0.000 0.500 1
Na2 0.000 0.500 0.000 1
Na3 0.500 0.000 0.000 1
Ti1 0.500 0.500 0.500 1
F1 0.000 0.000 0.000 1